# 1
Entry from the Alexandria database: a geometry-optimized TbPuCu4 structure (PBE-GGA).

a = 7.433 Å, b = 7.433 Å, c = 7.433 Å
α = 90.00°, β = 90.00°, γ = 90.00°
Space group F-43m (No. 216)
Inequivalent atoms, fractional coordinates:
Tb  0.000  0.000  0.000 x4
Pu  0.250  0.250  0.250 x4
Cu  0.125  0.125  0.625 x16

Computed properties:
The calculation puts the energy above the most stable polymorph in this dataset at 0 meV per atom. The value obtained for the energy is -142.9 eV per cell. The value obtained for the energy of formation from the pure elements is -0.063 eV per atom. For the spin magnetization, the calculation gives 0.990 μB per atom.

---

# 2
Entry from the Alexandria database: a geometry-optimized Tb2PuCuTe5 structure (PBE-GGA).

a = 4.251 Å, b = 19.016 Å, c = 12.864 Å
α = 90.00°, β = 90.00°, γ = 90.00°
Space group Cmc2_1 (No. 36)
Inequivalent atoms, fractional coordinates:
Tb  0.000  0.108  0.000 x4
Tb  0.000  0.122  0.622 x4
Pu  0.000  0.195  0.325 x4
Cu  0.000  0.429  0.778 x4
Te  0.000  0.042  0.385 x4
Te  0.000  0.290  0.996 x4
Te  0.000  0.318  0.654 x4
Te  0.000  0.360  0.317 x4
Te  0.000  0.499  0.104 x4

Computed properties:
The value obtained for the energy is -209.8 eV per cell. For the spin magnetization, the calculation gives 0.555 μB per atom. The formation energy without anion corrections is -1.006 eV per atom.

---

# 3
Entry from the Alexandria database: a geometry-optimized PuCuTc2 structure (PBE-GGA).

a = 6.323 Å, b = 6.323 Å, c = 6.323 Å
α = 90.00°, β = 90.00°, γ = 90.00°
Space group Fm-3m (No. 225)
Inequivalent atoms, fractional coordinates:
Pu  0.000  0.000  0.000 x4
Cu  0.000  0.000  0.500 x4
Tc  0.250  0.250  0.250 x8

Computed properties:
The calculation puts the energy above the most stable polymorph in this dataset at 78 meV per atom. The value obtained for the energy is -153.1 eV per cell. The value obtained for the energy of formation from the pure elements is 0.219 eV per atom. For the spin magnetization, the calculation gives 0.857 μB per atom.

---

# 4
Entry from the Alexandria database: a geometry-optimized PuCuTc structure (PBE-GGA).

a = 4.863 Å, b = 5.287 Å, c = 8.014 Å
α = 90.00°, β = 90.00°, γ = 90.00°
Space group Imma (No. 74)
Inequivalent atoms, fractional coordinates:
Pu  0.000  0.250  0.128 x4
Cu  0.250  0.250  0.750 x4
Tc  0.000  0.000  0.500 x4

Computed properties:
The calculation puts the energy above the most stable polymorph in this dataset at 0 meV per atom. The value obtained for the energy is -115.3 eV per cell. The value obtained for the energy of formation from the pure elements is -0.012 eV per atom. For the spin magnetization, the calculation gives 1.562 μB per atom.

---

# 5
Entry from the Alexandria database: a geometry-optimized Pu3CuTc2 structure (PBE-GGA).

a = 2.512 Å, b = 2.512 Å, c = 15.327 Å
α = 90.00°, β = 90.00°, γ = 90.00°
Space group P4/mmm (No. 123)
Inequivalent atoms, fractional coordinates:
Pu  0.000  0.000  0.000 x1
Pu  0.000  0.000  0.342 x2
Cu  0.500  0.500  0.500 x1
Tc  0.500  0.500  0.172 x2

Computed properties:
The value obtained for the energy is -64.9 eV per cell. The value obtained for the energy of formation from the pure elements is 0.481 eV per atom. For the spin magnetization, the calculation gives 0.000 μB per atom.

---

# 6
Entry from the Alexandria database: a geometry-optimized PuCuTc structure (PBE-GGA).

a = 4.297 Å, b = 4.297 Å, c = 12.128 Å
α = 90.00°, β = 90.00°, γ = 90.00°
Space group I4/mmm (No. 139)
Inequivalent atoms, fractional coordinates:
Pu  0.000  0.000  0.152 x4
Cu  0.000  0.000  0.382 x4
Tc  0.000  0.500  0.000 x4

Computed properties:
The calculation puts the energy above the most stable polymorph in this dataset at 140 meV per atom. The value obtained for the energy is -113.6 eV per cell. The value obtained for the energy of formation from the pure elements is 0.128 eV per atom. For the spin magnetization, the calculation gives 1.380 μB per atom.

---

# 7
Entry from the Alexandria database: a geometry-optimized PuCuTc structure (PBE-GGA).

a = 4.7745 Å, b = 4.7745 Å, c = 2.4164 Å
α = 90.00°, β = 90.00°, γ = 120.00°
Space group P3m1 (No. 156)
Inequivalent atoms, fractional coordinates:
Pu  0.0000  0.0000  0.0000 x1
Cu  0.3333  0.6667  0.5012 x1
Tc  0.6667  0.3333  0.4989 x1

Computed properties:
The calculation puts the energy above the most stable polymorph in this dataset at 419 meV per atom. The value obtained for the energy is -27.6 eV per cell. The value obtained for the energy of formation from the pure elements is 0.407 eV per atom. For the spin magnetization, the calculation gives 0.466 μB per atom.

---

# 8
Entry from the Alexandria database: a geometry-optimized PuCu4Tc structure (PBE-GGA).

a = 7.063 Å, b = 7.063 Å, c = 7.063 Å
α = 90.00°, β = 90.00°, γ = 90.00°
Space group F-43m (No. 216)
Inequivalent atoms, fractional coordinates:
Pu  0.000  0.000  0.000 x4
Cu  0.124  0.124  0.376 x16
Tc  0.250  0.250  0.750 x4

Computed properties:
The value obtained for the energy is -160.7 eV per cell. The value obtained for the energy of formation from the pure elements is 0.153 eV per atom. For the spin magnetization, the calculation gives 0.603 μB per atom.

---

# 9
Entry from the Alexandria database: a geometry-optimized Pu2CuTc3 structure (PBE-GGA).

a = 9.071 Å, b = 5.205 Å, c = 5.442 Å
α = 90.00°, β = 123.66°, γ = 90.00°
Space group C2/m (No. 12)
Inequivalent atoms, fractional coordinates:
Pu  0.125  0.000  0.374 x4
Cu  0.000  0.500  0.500 x2
Tc  0.000  0.500  0.000 x2
Tc  0.250  0.250  0.000 x4

Computed properties:
The value obtained for the energy is -127.5 eV per cell. The value obtained for the energy of formation from the pure elements is 0.022 eV per atom. For the spin magnetization, the calculation gives 1.565 μB per atom.

---

# 10
Entry from the Alexandria database: a geometry-optimized Pu6CuTc2 structure (PBE-GGA).

a = 7.6133 Å, b = 7.6133 Å, c = 2.8824 Å
α = 90.00°, β = 90.00°, γ = 120.00°
Space group P-31m (No. 162)
Inequivalent atoms, fractional coordinates:
Pu  0.0000  0.3313  0.0916 x6
Cu  0.0000  0.0000  0.5000 x1
Tc  0.3333  0.6667  0.5000 x2

Computed properties:
The value obtained for the energy is -108.4 eV per cell. The value obtained for the energy of formation from the pure elements is 0.266 eV per atom. For the spin magnetization, the calculation gives 0.000 μB per atom.

---

# 11
Entry from the Alexandria database: a geometry-optimized PuCuTc2 structure (PBE-GGA).

a = 4.218 Å, b = 4.218 Å, c = 3.544 Å
α = 90.00°, β = 90.00°, γ = 90.00°
Space group P4/mmm (No. 123)
Inequivalent atoms, fractional coordinates:
Pu  0.000  0.000  0.000 x1
Cu  0.500  0.500  0.000 x1
Tc  0.000  0.500  0.500 x2

Computed properties:
The calculation puts the energy above the most stable polymorph in this dataset at 0 meV per atom. The value obtained for the energy is -38.6 eV per cell. The value obtained for the energy of formation from the pure elements is 0.141 eV per atom. For the spin magnetization, the calculation gives 0.619 μB per atom.

---

# 12
Entry from the Alexandria database: a geometry-optimized PuVCuTc structure (PBE-GGA).

a = 6.440 Å, b = 6.440 Å, c = 6.440 Å
α = 90.00°, β = 90.00°, γ = 90.00°
Space group F-43m (No. 216)
Inequivalent atoms, fractional coordinates:
Pu  0.000  0.000  0.000 x4
V  0.000  0.000  0.500 x4
Cu  0.250  0.250  0.250 x4
Tc  0.250  0.250  0.750 x4

Computed properties:
The value obtained for the energy is -148.1 eV per cell. The value obtained for the energy of formation from the pure elements is 0.224 eV per atom. For the spin magnetization, the calculation gives 1.611 μB per atom.

---

# 13
Entry from the Alexandria database: a geometry-optimized YPuCuTc structure (PBE-GGA).

a = 6.868 Å, b = 6.868 Å, c = 6.868 Å
α = 90.00°, β = 90.00°, γ = 90.00°
Space group F-43m (No. 216)
Inequivalent atoms, fractional coordinates:
Y  0.000  0.000  0.000 x4
Pu  0.000  0.000  0.500 x4
Cu  0.250  0.250  0.250 x4
Tc  0.250  0.250  0.750 x4

Computed properties:
The value obtained for the energy is -140.2 eV per cell. The value obtained for the energy of formation from the pure elements is 0.051 eV per atom. For the spin magnetization, the calculation gives 1.136 μB per atom.

---

# 14
Entry from the Alexandria database: a geometry-optimized PuZrCuTc structure (PBE-GGA).

a = 6.697 Å, b = 6.697 Å, c = 6.697 Å
α = 90.00°, β = 90.00°, γ = 90.00°
Space group F-43m (No. 216)
Inequivalent atoms, fractional coordinates:
Pu  0.000  0.000  0.000 x4
Zr  0.000  0.000  0.500 x4
Cu  0.250  0.250  0.250 x4
Tc  0.250  0.250  0.750 x4

Computed properties:
The value obtained for the energy is -149.7 eV per cell. The value obtained for the energy of formation from the pure elements is -0.021 eV per atom. For the spin magnetization, the calculation gives 1.330 μB per atom.

---

# 15
Entry from the Alexandria database: a geometry-optimized PuCuTe structure (PBE-GGA).

a = 3.943 Å, b = 17.467 Å, c = 4.287 Å
α = 90.00°, β = 90.00°, γ = 90.00°
Space group Cmcm (No. 63)
Inequivalent atoms, fractional coordinates:
Pu  0.000  0.107  0.250 x4
Cu  0.000  0.470  0.250 x4
Te  0.000  0.319  0.250 x4

Computed properties:
The value obtained for the energy is -91.7 eV per cell. For the spin magnetization, the calculation gives 1.771 μB per atom. The formation energy without anion corrections is -0.453 eV per atom.

---

# 16
Entry from the Alexandria database: a geometry-optimized Pu3Cu5Te12 structure (PBE-GGA).

a = 16.606 Å, b = 16.606 Å, c = 16.606 Å
α = 90.00°, β = 90.00°, γ = 90.00°
Space group Ia-3d (No. 230)
Inequivalent atoms, fractional coordinates:
Pu  0.000  0.250  0.125 x24
Cu  0.000  0.000  0.000 x16
Cu  0.000  0.250  0.375 x24
Te  0.027  0.061  0.649 x96

Computed properties:
The value obtained for the energy is -859.2 eV per cell. For the spin magnetization, the calculation gives 0.690 μB per atom. The formation energy without anion corrections is -0.311 eV per atom.

---

# 17
Entry from the Alexandria database: a geometry-optimized PuCuTe structure (PBE-GGA).

a = 3.820 Å, b = 3.820 Å, c = 9.548 Å
α = 90.00°, β = 90.00°, γ = 90.00°
Space group I4mm (No. 107)
Inequivalent atoms, fractional coordinates:
Pu  0.000  0.000  0.000 x2
Cu  0.000  0.000  0.334 x2
Te  0.000  0.000  0.672 x2

Computed properties:
The value obtained for the energy is -44.7 eV per cell. For the spin magnetization, the calculation gives 1.759 μB per atom. The formation energy without anion corrections is -0.267 eV per atom.

---

# 18
Entry from the Alexandria database: a geometry-optimized Pu2CuTe structure (PBE-GGA).

a = 4.3212 Å, b = 4.3212 Å, c = 20.6655 Å
α = 90.00°, β = 90.00°, γ = 120.00°
Space group R-3m (No. 166, hexagonal axes)
Inequivalent atoms, fractional coordinates:
Pu  0.0000  0.0000  0.2395 x6
Cu  0.0000  0.0000  0.5000 x3
Te  0.0000  0.0000  0.0000 x3

Computed properties:
The calculation puts the energy above the most stable polymorph in this dataset at 89 meV per atom. The value obtained for the energy is -111.0 eV per cell. For the spin magnetization, the calculation gives 3.115 μB per atom. The formation energy without anion corrections is -0.271 eV per atom.

---

# 19
Entry from the Alexandria database: a geometry-optimized PuCu2Te2 structure (PBE-GGA).

a = 9.173 Å, b = 10.886 Å, c = 6.609 Å
α = 90.00°, β = 133.88°, γ = 90.00°
Space group C2/c (No. 15)
Inequivalent atoms, fractional coordinates:
Pu  0.000  0.126  0.250 x4
Cu  0.142  0.373  0.748 x8
Te  0.000  0.160  0.750 x4
Te  0.000  0.412  0.250 x4

Computed properties:
The value obtained for the energy is -121.9 eV per cell. For the spin magnetization, the calculation gives 1.177 μB per atom. The formation energy without anion corrections is -0.331 eV per atom.

---

# 20
Entry from the Alexandria database: a geometry-optimized PuCu2Te3 structure (PBE-GGA).

a = 6.930 Å, b = 4.137 Å, c = 11.504 Å
α = 90.00°, β = 98.06°, γ = 90.00°
Space group P2_1/m (No. 11)
Inequivalent atoms, fractional coordinates:
Pu  0.177  0.250  0.326 x2
Cu  0.047  0.750  0.084 x2
Cu  0.464  0.250  0.574 x2
Te  0.161  0.750  0.875 x2
Te  0.226  0.750  0.542 x2
Te  0.404  0.750  0.202 x2

Computed properties:
The value obtained for the energy is -68.8 eV per cell. For the spin magnetization, the calculation gives 0.764 μB per atom. The formation energy without anion corrections is -0.412 eV per atom.

---

# 21
Entry from the Alexandria database: a geometry-optimized Pu2CuTe structure (PBE-GGA).

a = 4.980 Å, b = 4.980 Å, c = 3.927 Å
α = 90.00°, β = 90.00°, γ = 90.00°
Space group P4/mmm (No. 123)
Inequivalent atoms, fractional coordinates:
Pu  0.000  0.500  0.000 x2
Cu  0.000  0.000  0.500 x1
Te  0.500  0.500  0.500 x1

Computed properties:
The calculation puts the energy above the most stable polymorph in this dataset at 0 meV per atom. The value obtained for the energy is -37.3 eV per cell. For the spin magnetization, the calculation gives 3.090 μB per atom. The formation energy without anion corrections is -0.359 eV per atom.

---

# 22
Entry from the Alexandria database: a geometry-optimized PuCu6Te8 structure (PBE-GGA).

a = 10.7041 Å, b = 10.7041 Å, c = 11.0967 Å
α = 90.00°, β = 90.00°, γ = 120.00°
Space group R-3 (No. 148, hexagonal axes)
Inequivalent atoms, fractional coordinates:
Pu  0.0000  0.0000  0.0000 x3
Cu  0.0548  0.2323  0.5695 x18
Te  0.0000  0.0000  0.3182 x6
Te  0.0215  0.7336  0.9013 x18

Computed properties:
The value obtained for the energy is -196.9 eV per cell. For the spin magnetization, the calculation gives 0.327 μB per atom. The formation energy without anion corrections is -0.107 eV per atom.

---

# 23
Entry from the Alexandria database: a geometry-optimized Pu2CuTe structure (PBE-GGA).

a = 7.325 Å, b = 7.325 Å, c = 7.325 Å
α = 90.00°, β = 90.00°, γ = 90.00°
Space group Fm-3m (No. 225)
Inequivalent atoms, fractional coordinates:
Pu  0.250  0.250  0.250 x8
Cu  0.000  0.000  0.000 x4
Te  0.000  0.000  0.500 x4

Computed properties:
The calculation puts the energy above the most stable polymorph in this dataset at 28 meV per atom. The value obtained for the energy is -148.9 eV per cell. For the spin magnetization, the calculation gives 3.244 μB per atom. The formation energy without anion corrections is -0.331 eV per atom.